The following is a DFT calculation (GGA-PBE) of crystalline Pm3Zn2Pd4 at its relaxed geometry.

```
data_Pm3Zn2Pd4
_space_group_name_H-M_alt 'C 1 2/m 1'
_space_group_IT_number 12
_cell_length_a 11.048
_cell_length_b 4.344
_cell_length_c 8.768
_cell_angle_alpha 90.00
_cell_angle_beta 114.46
_cell_angle_gamma 90.00
loop_
_space_group_symop_operation_xyz
'x,y,z'
'-x,-y,-z'
'-x,y,-z'
'x,-y,z'
'x+1/2,y+1/2,z'
'-x+1/2,-y+1/2,-z'
'-x+1/2,y+1/2,-z'
'x+1/2,-y+1/2,z'
loop_
_atom_site_label
_atom_site_type_symbol
_atom_site_fract_x
_atom_site_fract_y
_atom_site_fract_z
Pm1 Pm 0.000 0.000 0.000
Pm2 Pm 0.143 0.500 0.690
Zn1 Zn 0.157 0.500 0.324
Pd1 Pd 0.082 0.000 0.413
Pd2 Pd 0.212 0.500 0.067
```

Values from the calculation:
The formation energy is -0.73 eV/atom. The total energy is -4.90 eV/atom.

The following is a DFT calculation (GGA-PBE) of crystalline Ba2SrHg2 at its relaxed geometry.

```
data_Ba2SrHg2
_space_group_name_H-M_alt 'P 4/m b m'
_space_group_IT_number 127
_space_group_name_Hall '-P 4 2ab'
_cell_length_a 9.920
_cell_length_b 9.920
_cell_length_c 4.004
_cell_angle_alpha 90.00
_cell_angle_beta 90.00
_cell_angle_gamma 90.00
loop_
_atom_site_label
_atom_site_type_symbol
_atom_site_fract_x
_atom_site_fract_y
_atom_site_fract_z
Ba1 Ba 0.135 0.365 0.000
Sr1 Sr 0.000 0.000 0.000
Hg1 Hg 0.161 0.661 0.500
```

Values from the calculation:
The distance to the lowest polymorph of the same formula comes out at 94.0 meV/atom. The formation energy is -0.32 eV/atom. The total energy is -1.55 eV/atom.

The following is a DFT calculation (GGA-PBE) of crystalline PSeS2I at its relaxed geometry.

```
data_PSeS2I
_space_group_name_H-M_alt 'P 4/m m m'
_space_group_IT_number 123
_space_group_name_Hall '-P 4 2'
_cell_length_a 4.767
_cell_length_b 4.767
_cell_length_c 5.133
_cell_angle_alpha 90.00
_cell_angle_beta 90.00
_cell_angle_gamma 90.00
loop_
_atom_site_label
_atom_site_type_symbol
_atom_site_fract_x
_atom_site_fract_y
_atom_site_fract_z
P1 P 0.000 0.000 0.000
Se1 Se 0.000 0.000 0.500
S1 S 0.000 0.500 0.500
I1 I 0.500 0.500 0.000
```

Values from the calculation:
The distance to the lowest polymorph of the same formula comes out at 0.0 meV/atom. For the uncorrected formation energy, the calculation gives 0.872 eV/atom. The total energy is -2.87 eV/atom.

The following is a DFT calculation (GGA-PBE) of crystalline Nd3Dy3Y4 at its relaxed geometry.

```
data_Nd3Dy3Y4
_space_group_name_H-M_alt 'A m m 2'
_space_group_IT_number 38
_cell_length_a 3.700
_cell_length_b 13.423
_cell_length_c 13.491
_cell_angle_alpha 90.00
_cell_angle_beta 90.00
_cell_angle_gamma 90.00
loop_
_space_group_symop_operation_xyz
'x,y,z'
'-x,-y,z'
'-x,y,z'
'x,-y,z'
'x,y+1/2,z+1/2'
'-x,-y+1/2,z+1/2'
'-x,y+1/2,z+1/2'
'x,-y+1/2,z+1/2'
loop_
_atom_site_label
_atom_site_type_symbol
_atom_site_fract_x
_atom_site_fract_y
_atom_site_fract_z
Nd1 Nd 0.000 0.000 0.000
Nd2 Nd 0.000 0.174 0.673
Dy1 Dy 0.000 0.000 0.348
Dy2 Dy 0.500 0.247 0.422
Y1 Y 0.500 0.000 0.547
Y2 Y 0.500 0.000 0.799
Y3 Y 0.500 0.125 0.176
```

Values from the calculation:
The formation energy is 0.11 eV/atom. The total energy is -5.29 eV/atom.